Below is an optimized crystal structure of Ac2SmGe3Pd4, with properties calculated at the PBE level.

Calculated values
Volume ... 224 Å³/f.u.
Formation enthalpy at 0 K ... -0.84 eV/atom
Electronic total energy ... -55.92 eV/f.u.

```
data_Ac2SmGe3Pd4
_chemical_formula_sum 'Ac2 Sm1 Ge3 Pd4'
_cell_length_a 4.4379
_cell_length_b 4.4379
_cell_length_c 11.3593
_cell_angle_alpha 90.00
_cell_angle_beta 90.00
_cell_angle_gamma 90.00
_symmetry_space_group_name_H-M 'P -4 m 2'
_symmetry_Int_Tables_number 115
_symmetry_space_group_name_Hall 'P -4 -2'
loop_
_atom_site_label
_atom_site_fract_x
_atom_site_fract_y
_atom_site_fract_z
Ac1 0.0000 0.5000 0.2259
Sm1 0.0000 0.0000 0.5000
Ge1 0.0000 0.5000 0.8841
Ge2 0.5000 0.5000 0.5000
Pd1 0.0000 0.0000 0.0000
Pd2 0.0000 0.5000 0.6602
Pd3 0.5000 0.5000 0.0000
```

Below is an optimized crystal structure of AcSmGePd, with properties calculated at the PBE level.

Calculated values
Excess energy over the best structure of this formula in the dataset ... 0 meV/atom
Volume ... 105 Å³/f.u.
Formation enthalpy at 0 K ... -0.67 eV/atom
Electronic total energy ... -21.33 eV/f.u.

```
data_AcSmGePd
_chemical_formula_sum 'Ac4 Sm4 Ge4 Pd4'
_cell_length_a 7.4929
_cell_length_b 7.4929
_cell_length_c 7.4929
_cell_angle_alpha 90.00
_cell_angle_beta 90.00
_cell_angle_gamma 90.00
_symmetry_space_group_name_H-M 'F -4 3 m'
_symmetry_Int_Tables_number 216
_symmetry_space_group_name_Hall 'F -4 2 3'
loop_
_atom_site_label
_atom_site_fract_x
_atom_site_fract_y
_atom_site_fract_z
Ac1 0.0000 0.0000 0.0000
Sm1 0.0000 0.0000 0.5000
Ge1 0.2500 0.2500 0.7500
Pd1 0.2500 0.2500 0.2500
```

Below is an optimized crystal structure of Ac2SnGe3Pd4, with properties calculated at the PBE level.

Calculated values
Volume ... 215 Å³/f.u.
Formation enthalpy at 0 K ... -0.82 eV/atom
Electronic total energy ... -55.00 eV/f.u.

```
data_Ac2SnGe3Pd4
_chemical_formula_sum 'Ac2 Sn1 Ge3 Pd4'
_cell_length_a 4.5071
_cell_length_b 4.5071
_cell_length_c 10.5988
_cell_angle_alpha 90.00
_cell_angle_beta 90.00
_cell_angle_gamma 90.00
_symmetry_space_group_name_H-M 'P -4 m 2'
_symmetry_Int_Tables_number 115
_symmetry_space_group_name_Hall 'P -4 -2'
loop_
_atom_site_label
_atom_site_fract_x
_atom_site_fract_y
_atom_site_fract_z
Ac1 0.0000 0.5000 0.2404
Sn1 0.0000 0.0000 0.5000
Ge1 0.0000 0.5000 0.8797
Ge2 0.5000 0.5000 0.5000
Pd1 0.0000 0.0000 0.0000
Pd2 0.0000 0.5000 0.6412
Pd3 0.5000 0.5000 0.0000
```

Below is an optimized crystal structure of Ac4SnGe3Pd12, with properties calculated at the PBE level.

Calculated values
Volume ... 459 Å³/f.u.
Formation enthalpy at 0 K ... -0.55 eV/atom
Electronic total energy ... -107.52 eV/f.u.

```
data_Ac4SnGe3Pd12
_chemical_formula_sum 'Ac8 Sn2 Ge6 Pd24'
_cell_length_a 9.7209
_cell_length_b 9.7209
_cell_length_c 9.7209
_cell_angle_alpha 90.00
_cell_angle_beta 90.00
_cell_angle_gamma 90.00
_symmetry_space_group_name_H-M 'I m -3 m'
_symmetry_Int_Tables_number 229
_symmetry_space_group_name_Hall '-I 4 2 3'
loop_
_atom_site_label
_atom_site_fract_x
_atom_site_fract_y
_atom_site_fract_z
Ac1 0.2500 0.2500 0.2500
Sn1 0.0000 0.0000 0.0000
Ge1 0.0000 0.0000 0.5000
Pd1 0.0000 0.0000 0.2603
Pd2 0.0000 0.2500 0.5000
```

Below is an optimized crystal structure of AcSnGe2Pd5, with properties calculated at the PBE level.

Calculated values
Volume ... 195 Å³/f.u.
Formation enthalpy at 0 K ... -0.50 eV/atom
Electronic total energy ... -47.83 eV/f.u.

```
data_AcSnGe2Pd5
_chemical_formula_sum 'Ac1 Sn1 Ge2 Pd5'
_cell_length_a 4.1546
_cell_length_b 4.1546
_cell_length_c 11.2721
_cell_angle_alpha 90.00
_cell_angle_beta 90.00
_cell_angle_gamma 90.00
_symmetry_space_group_name_H-M 'P 4/m m m'
_symmetry_Int_Tables_number 123
_symmetry_space_group_name_Hall '-P 4 2'
loop_
_atom_site_label
_atom_site_fract_x
_atom_site_fract_y
_atom_site_fract_z
Ac1 0.0000 0.0000 0.0000
Sn1 0.0000 0.0000 0.5000
Ge1 0.5000 0.5000 0.2177
Pd1 0.0000 0.5000 0.3411
Pd2 0.5000 0.5000 0.0000
```

Below is an optimized crystal structure of Ac2SnGePd6, with properties calculated at the PBE level.

Calculated values
Volume ... 223 Å³/f.u.
Formation enthalpy at 0 K ... -0.73 eV/atom
Electronic total energy ... -55.27 eV/f.u.

```
data_Ac2SnGePd6
_chemical_formula_sum 'Ac2 Sn1 Ge1 Pd6'
_cell_length_a 5.6895
_cell_length_b 6.6833
_cell_length_c 7.0896
_cell_angle_alpha 77.54
_cell_angle_beta 66.39
_cell_angle_gamma 64.88
_symmetry_space_group_name_H-M 'P -1'
_symmetry_Int_Tables_number 2
_symmetry_space_group_name_Hall '-P 1'
loop_
_atom_site_label
_atom_site_fract_x
_atom_site_fract_y
_atom_site_fract_z
Ac1 0.2483 0.2797 0.2253
Sn1 0.0000 0.0000 0.0000
Ge1 0.5000 0.5000 0.5000
Pd1 0.2525 0.7415 0.2600
Pd2 0.2518 0.8968 0.5987
Pd3 0.2547 0.2583 0.7396
```

Question: Among the records above, which one has the lowest volume?
Answer: AcSmGePd